# Be2CoSi (GGA-PBE, optimized geometry)
data_Be2CoSi
_chemical_formula_sum 'Be4 Co2 Si2'
_cell_length_a 4.728
_cell_length_b 7.866
_cell_length_c 2.491
_cell_angle_alpha 90.00
_cell_angle_beta 121.48
_cell_angle_gamma 90.00
_symmetry_space_group_name_H-M 'C 1 2/m 1'
_symmetry_Int_Tables_number 12
loop_
_symmetry_equiv_pos_as_xyz
'x,y,z'
'-x,-y,-z'
'-x,y,-z'
'x,-y,z'
'x+1/2,y+1/2,z'
'-x+1/2,-y+1/2,-z'
'-x+1/2,y+1/2,-z'
'x+1/2,-y+1/2,z'
loop_
_atom_site_label
_atom_site_fract_x
_atom_site_fract_y
_atom_site_fract_z
Be1 0.250 0.250 0.000
Co1 0.000 0.000 0.500
Si1 0.000 0.500 0.500
# Raw total energy = -5.07 eV/atom